This record from Alexandria describes a relaxed structure of Fe2ReH2. The functional is PBE-GGA.

Computed properties:
mass density: 12.2 Mg/m³
symmetry: I4/mmm, No. 139
excess energy over the best structure of this formula in the dataset: 0 meV/atom
uncorrected energy: -6.9499 eV/atom
V: 8.155 A^3/atom

Lattice parameters (Å, degrees): 4.6794 4.6794 4.6794 140.70 140.70 56.80
Last column: nearest neighbours and their distance in Å.
Sites, in units of the cell vectors:
Fe: 0.1635 0.1635 0.0000  4 H 1.73
Fe: 0.8365 0.8365 0.0000  4 H 1.73
Re: 0.5000 0.5000 0.0000  8 H 2.59, 10 Fe 2.60-2.77
H: 0.2500 0.7500 0.5000  4 Fe 1.73
H: 0.7500 0.2500 0.5000  4 Fe 1.73

---

This record from Alexandria describes a relaxed structure of FeRe2HRh. The functional is PBE-GGA.

Computed properties:
mass density: 15.6 Mg/m³
symmetry: P4/mmm, No. 123
uncorrected energy: -8.6865 eV/atom
V: 11.347 A^3/atom

Lattice parameters (Å, degrees): 3.8546 3.8546 3.8185 90.00 90.00 90.00
Last column: nearest neighbours and their distance in Å.
Sites, in units of the cell vectors:
Fe: 0.0000 0.0000 0.0000  2 H 1.91
Re: 0.0000 0.5000 0.5000  2 H 1.93
Re: 0.5000 0.0000 0.5000  2 H 1.93
H: 0.0000 0.0000 0.5000  2 Fe 1.91, 4 Re 1.93
Rh: 0.5000 0.5000 0.0000  8 Re 2.71, 4 Fe 2.73

---

This record from Alexandria describes a relaxed structure of Fe2ReHRh. The functional is PBE-GGA.

Computed properties:
mass density: 12.8 Mg/m³
symmetry: P4/mmm, No. 123
excess energy over the best structure of this formula in the dataset: 32 meV/atom
uncorrected energy: -7.8867 eV/atom
V: 10.409 A^3/atom

Lattice parameters (Å, degrees): 3.7187 3.7187 3.7636 90.00 90.00 90.00
Last column: nearest neighbours and their distance in Å.
Sites, in units of the cell vectors:
Fe: 0.0000 0.5000 0.0000  2 H 1.86
Fe: 0.5000 0.0000 0.0000  2 H 1.86
Re: 0.0000 0.0000 0.5000  2 H 1.88
H: 0.0000 0.0000 0.0000  4 Fe 1.86, 2 Re 1.88
Rh: 0.5000 0.5000 0.5000  4 Re 2.63, 8 Fe 2.65

---

This record from Alexandria describes a relaxed structure of Fe2ReHRh. The functional is PBE-GGA.

Computed properties:
mass density: 12.9 Mg/m³
symmetry: P4/mmm, No. 123
excess energy over the best structure of this formula in the dataset: 0 meV/atom
uncorrected energy: -7.9187 eV/atom
V: 10.348 A^3/atom

Lattice parameters (Å, degrees): 3.7518 3.7518 3.6758 90.00 90.00 90.00
Last column: nearest neighbours and their distance in Å.
Sites, in units of the cell vectors:
Fe: 0.0000 0.5000 0.0000  2 H 1.88
Fe: 0.5000 0.0000 0.0000  2 H 1.88
Re: 0.0000 0.0000 0.5000  8 Fe 2.63, 4 Rh 2.65
H: 0.5000 0.5000 0.0000  2 Rh 1.84, 4 Fe 1.88
Rh: 0.5000 0.5000 0.5000  2 H 1.84

---

This record from Alexandria describes a relaxed structure of FeRe2HRu. The functional is PBE-GGA.

Computed properties:
mass density: 15.6 Mg/m³
symmetry: P4/mmm, No. 123
uncorrected energy: -9.0598 eV/atom
V: 11.324 A^3/atom

Lattice parameters (Å, degrees): 3.8787 3.8787 3.7633 90.00 90.00 90.00
Last column: nearest neighbours and their distance in Å.
Sites, in units of the cell vectors:
Fe: 0.0000 0.0000 0.0000  2 H 1.88
Re: 0.0000 0.5000 0.5000  2 H 1.94
Re: 0.5000 0.0000 0.5000  2 H 1.94
H: 0.0000 0.0000 0.5000  2 Fe 1.88, 4 Re 1.94
Ru: 0.5000 0.5000 0.0000  8 Re 2.70, 4 Fe 2.74

---

This record from Alexandria describes a relaxed structure of FeReHRu2. The functional is PBE-GGA.

Computed properties:
mass density: 13.3 Mg/m³
symmetry: P4/mmm, No. 123
uncorrected energy: -8.4814 eV/atom
V: 11.078 A^3/atom

Lattice parameters (Å, degrees): 3.8382 3.8382 3.7599 90.00 90.00 90.00
Last column: nearest neighbours and their distance in Å.
Sites, in units of the cell vectors:
Fe: 0.0000 0.0000 0.0000  2 H 1.88
Re: 0.5000 0.5000 0.0000  8 Ru 2.69, 4 Fe 2.71
H: 0.0000 0.0000 0.5000  2 Fe 1.88, 4 Ru 1.92
Ru: 0.0000 0.5000 0.5000  2 H 1.92
Ru: 0.5000 0.0000 0.5000  2 H 1.92

---

This record from Alexandria describes a relaxed structure of Fe2ReHRu. The functional is PBE-GGA.

Computed properties:
mass density: 12.9 Mg/m³
symmetry: P4/mmm, No. 123
excess energy over the best structure of this formula in the dataset: 0 meV/atom
uncorrected energy: -8.3208 eV/atom
V: 10.314 A^3/atom

Lattice parameters (Å, degrees): 3.7194 3.7194 3.7277 90.00 90.00 90.00
Last column: nearest neighbours and their distance in Å.
Sites, in units of the cell vectors:
Fe: 0.0000 0.5000 0.0000  2 H 1.86
Fe: 0.5000 0.0000 0.0000  2 H 1.86
Re: 0.0000 0.0000 0.5000  4 Ru 2.63, 8 Fe 2.63
H: 0.5000 0.5000 0.0000  4 Fe 1.86, 2 Ru 1.86
Ru: 0.5000 0.5000 0.5000  2 H 1.86

---

This record from Alexandria describes a relaxed structure of Fe2ReHRu. The functional is PBE-GGA.

Computed properties:
mass density: 12.8 Mg/m³
symmetry: P4/mmm, No. 123
excess energy over the best structure of this formula in the dataset: 51 meV/atom
uncorrected energy: -8.2700 eV/atom
V: 10.373 A^3/atom

Lattice parameters (Å, degrees): 3.6976 3.6976 3.7935 90.00 90.00 90.00
Last column: nearest neighbours and their distance in Å.
Sites, in units of the cell vectors:
Fe: 0.0000 0.5000 0.0000  2 H 1.85
Fe: 0.5000 0.0000 0.0000  2 H 1.85
Re: 0.0000 0.0000 0.5000  2 H 1.90
H: 0.0000 0.0000 0.0000  4 Fe 1.85, 2 Re 1.90
Ru: 0.5000 0.5000 0.5000  4 Re 2.61, 8 Fe 2.65